Record 1
## Ti2Hg2Pb (GGA-PBE)

Data for a relaxed structure of Ti2Hg2Pb.

Results
Relative energy among the computed polymorphs in eV/atom: 0.000
Symmetry: P4/mbm
E_form in eV per atom: 0.138

abc: 7.296 7.296 4.092
angles: 90.00 90.00 90.00
Last column: magnetic moment on the atom in μB.
Sites, in units of the cell vectors:
Pb (0.500, 0.500, 0.000)  -0.01
Hg (0.340, 0.160, 0.500)  0.01
Hg (0.660, 0.840, 0.500)  0.01
Hg (0.840, 0.340, 0.500)  0.01
Ti (0.867, 0.633, 0.000)  0.62
Hg (0.160, 0.660, 0.500)  0.01
Ti (0.367, 0.867, 0.000)  0.60
Ti (0.133, 0.367, 0.000)  0.62
Ti (0.633, 0.133, 0.000)  0.60
Pb (0.000, 0.000, 0.000)  -0.01



Record 2
## In2Ga2GeRh5 (GGA-PBE)

Data for a relaxed structure of In2Ga2GeRh5.

Results
Symmetry: P4/mbm
E_form in eV per atom: -0.429

abc: 3.010 10.397 10.397
angles: 90.00 90.00 90.00
Sites, in units of the cell vectors:
Rh (0.500, 0.163, 0.119)
Ge (0.000, 0.000, 0.000)
Rh (0.500, 0.119, 0.837)
Rh (0.500, 0.837, 0.881)
Rh (0.500, 0.337, 0.619)
Ga (0.000, 0.861, 0.361)
Ga (0.000, 0.639, 0.861)
Rh (0.500, 0.381, 0.337)
In (0.000, 0.157, 0.343)
Ge (0.000, 0.500, 0.500)
Rh (0.500, 0.500, 0.000)
Rh (0.500, 0.663, 0.381)
In (0.000, 0.657, 0.157)
Rh (0.500, 0.881, 0.163)
Ga (0.000, 0.139, 0.639)
Ga (0.000, 0.361, 0.139)
In (0.000, 0.843, 0.657)
In (0.000, 0.343, 0.843)
Rh (0.500, 0.619, 0.663)
Rh (0.500, 0.000, 0.500)



Record 3
## Ca3Ga7Rh4 (GGA-PBE)

Data for a relaxed structure of Ca3Ga7Rh4.

Results
Symmetry: C2/m
E_form in eV per atom: -0.608

abc: 4.298 8.146 8.395
angles: 68.36 75.17 74.70
Sites, in units of the cell vectors:
Ca (0.307, 0.185, 0.200)
Ga (0.500, 0.219, 0.780)
Rh (0.664, 0.466, 0.206)
Ga (0.000, 0.000, 0.000)
Ca (0.000, 0.500, 0.500)
Ga (0.317, 0.832, 0.533)
Ga (0.845, 0.386, 0.923)
Ca (0.693, 0.815, 0.800)
Ga (0.155, 0.614, 0.077)
Rh (0.336, 0.534, 0.794)
Ga (0.500, 0.781, 0.220)
Rh (0.882, 0.902, 0.333)
Rh (0.118, 0.098, 0.667)
Ga (0.683, 0.168, 0.467)